Material: Y2AlZn
Method: DFT, PBE
State: optimized geometry Values from VASP.

As for the space group: I-42d (122).

Quantum ESPRESSO input file:
```
&SYSTEM
  ibrav = 0, nat = 8, ntyp = 3
/
ATOMIC_SPECIES
Y 88.91 Y.upf
Al 26.98 Al.upf
Zn 65.41 Zn.upf
ATOMIC_POSITIONS crystal
Y 0.1076 0.6250 0.2500
Y 0.6424 0.1250 0.2500
Y 0.3750 0.3576 0.7500
Y 0.8750 0.8924 0.7500
Al 0.2500 0.7500 0.5000
Al 0.5000 0.5000 0.0000
Zn 0.7500 0.2500 0.5000
Zn 0.0000 0.0000 0.0000
CELL_PARAMETERS angstrom
7.8808 0.0000 0.0000
0.0000 7.8808 0.0000
3.9404 3.9404 3.3711
```

---

Material: YAlZn2
Method: DFT, PBE
State: optimized geometry Values from VASP.

As for the space group: P4/mmm (123).

Quantum ESPRESSO input file:
```
&SYSTEM
  ibrav = 0, nat = 4, ntyp = 3
/
ATOMIC_SPECIES
Y 88.91 Y.upf
Al 26.98 Al.upf
Zn 65.41 Zn.upf
ATOMIC_POSITIONS crystal
Y 0.0000 0.5000 0.5000
Al 0.5000 0.0000 0.5000
Zn 0.5000 0.5000 0.0000
Zn 0.0000 0.0000 0.0000
CELL_PARAMETERS angstrom
-3.4166 2.2400 -1.4658
-1.2240 -3.4210 -2.3749
-2.2476 -1.3746 3.1384
```

---

Material: YAlZn2
Method: DFT, PBE
State: optimized geometry Values from VASP.

As for the space group: Fm-3m (225).

Quantum ESPRESSO input file:
```
&SYSTEM
  ibrav = 0, nat = 4, ntyp = 3
/
ATOMIC_SPECIES
Zn 65.41 Zn.upf
Al 26.98 Al.upf
Y 88.91 Y.upf
ATOMIC_POSITIONS crystal
Zn 0.7500 0.7500 0.7500
Zn 0.2500 0.2500 0.2500
Al 0.0000 0.0000 0.0000
Y 0.5000 0.5000 0.5000
CELL_PARAMETERS angstrom
4.5123 -0.3287 1.3539
1.0548 -0.7156 4.5473
1.7507 -4.1594 1.3917
```

---

Material: Y2AlZn
Method: DFT, PBE
State: optimized geometry Values from VASP.

As for the space group: Amm2 (38).

Quantum ESPRESSO input file:
```
&SYSTEM
  ibrav = 0, nat = 4, ntyp = 3
/
ATOMIC_SPECIES
Al 26.98 Al.upf
Y 88.91 Y.upf
Zn 65.41 Zn.upf
ATOMIC_POSITIONS crystal
Al 0.5000 0.5579 0.7593
Y 0.5000 0.2779 0.3190
Y 0.0000 0.9714 0.9326
Zn 0.0000 0.6928 0.4890
CELL_PARAMETERS angstrom
4.4584 0.0000 0.0000
0.0000 3.7398 -0.0029
0.0000 1.8694 5.7876
```

---

The following DFT total energy values (in eV per atom) correspond, in order, to the records above: -4.447, -3.486, -3.477, -4.857.